Record 1
A plane-wave DFT calculation with PBE was carried out for crystalline NdAl2Hg at its relaxed geometry.

Properties
- DOS(E_F) (states/eV per cell) = 2.1
- energy of formation (meV/atom) = -310.6
- energy relative to the lowest polymorph listed for this composition (kJ per mole of atoms) = 0.0
- space group = P4/mmm
- total energy (eV/cell) = -13.8

Cell lengths 4.512, 4.512, 4.413 Å; angles 90.00, 90.00, 90.00 degrees
Sites, in units of the cell vectors:
Nd 0.000 0.000 0.000
Al 0.000 0.500 0.500
Al 0.500 0.000 0.500
Hg 0.500 0.500 0.000

***

Record 2
A plane-wave DFT calculation with PBE was carried out for crystalline NdAl2Hg2 at its relaxed geometry.

Properties
- DOS(E_F) (states/eV per cell) = 1.8
- energy of formation (meV/atom) = -328.0
- space group = P4/nmm
- total energy (eV/cell) = -29.0

Cell lengths 4.469, 4.469, 11.204 Å; angles 90.00, 90.00, 90.00 degrees
Sites, in units of the cell vectors:
Nd 0.250 0.250 0.249
Nd 0.750 0.750 0.751
Al 0.250 0.250 0.863
Al 0.250 0.750 0.500
Al 0.750 0.250 0.500
Al 0.750 0.750 0.137
Hg 0.250 0.250 0.636
Hg 0.250 0.750 0.000
Hg 0.750 0.250 0.000
Hg 0.750 0.750 0.364

***

Record 3
A plane-wave DFT calculation with PBE was carried out for crystalline Nd6Al2Hg at its relaxed geometry.

Properties
- DOS(E_F) (states/eV per cell) = 23.7
- energy of formation (meV/atom) = -159.7
- energy relative to the lowest polymorph listed for this composition (kJ per mole of atoms) = 7.6
- space group = P2_1/c
- total energy (eV/cell) = -75.7

Cell lengths 5.915, 9.137, 11.232 Å; angles 90.00, 116.88, 90.00 degrees
Sites, in units of the cell vectors:
Nd 0.003 0.162 0.078
Nd 0.003 0.338 0.578
Nd 0.379 0.517 0.305
Nd 0.379 0.983 0.805
Nd 0.391 0.168 0.433
Nd 0.391 0.332 0.933
Nd 0.609 0.668 0.067
Nd 0.609 0.832 0.567
Nd 0.621 0.017 0.195
Nd 0.621 0.483 0.695
Nd 0.997 0.662 0.422
Nd 0.997 0.838 0.922
Al 0.182 0.644 0.745
Al 0.182 0.856 0.245
Al 0.818 0.144 0.755
Al 0.818 0.356 0.255
Hg 0.000 0.000 0.500
Hg 0.000 0.500 0.000

***

Record 4
A plane-wave DFT calculation with PBE was carried out for crystalline NdAlHg2 at its relaxed geometry.

Properties
- DOS(E_F) (states/eV per cell) = 1.7
- energy of formation (meV/atom) = -325.4
- space group = R-3m
- total energy (eV/cell) = -10.4

Cell lengths 6.007, 6.007, 6.007 Å; angles 45.00, 45.00, 45.00 degrees
Sites, in units of the cell vectors:
Nd 0.000 0.000 0.000
Al 0.500 0.500 0.500
Hg 0.226 0.226 0.226
Hg 0.774 0.774 0.774

***

Record 5
A plane-wave DFT calculation with PBE was carried out for crystalline Nd6AlHg2 at its relaxed geometry.

Properties
- DOS(E_F) (states/eV per cell) = 23.0
- energy of formation (meV/atom) = -232.6
- space group = Immm
- total energy (eV/cell) = -70.1

Cell lengths 8.988, 8.988, 8.988 Å; angles 110.49, 109.16, 108.77 degrees
Sites, in units of the cell vectors:
Nd 0.060 0.236 0.824
Nd 0.233 0.561 0.328
Nd 0.233 0.905 0.672
Nd 0.306 0.245 0.551
Nd 0.306 0.755 0.061
Nd 0.412 0.236 0.176
Nd 0.588 0.764 0.824
Nd 0.694 0.245 0.939
Nd 0.694 0.755 0.449
Nd 0.767 0.095 0.328
Nd 0.767 0.439 0.672
Nd 0.940 0.764 0.176
Al 0.500 0.000 0.500
Al 0.500 0.500 0.000
Hg 0.000 0.142 0.142
Hg 0.000 0.858 0.858
Hg 0.145 0.500 0.645
Hg 0.855 0.500 0.355

***

Record 6
A plane-wave DFT calculation with PBE was carried out for crystalline Nd6AlHg5 at its relaxed geometry.

Properties
- DOS(E_F) (states/eV per cell) = 14.1
- energy of formation (meV/atom) = -442.6
- space group = P2/m
- total energy (eV/cell) = -39.2

Cell lengths 5.384, 7.707, 8.514 Å; angles 90.00, 108.28, 90.00 degrees
Sites, in units of the cell vectors:
Nd 0.000 0.245 0.000
Nd 0.000 0.755 0.000
Nd 0.334 0.246 0.671
Nd 0.334 0.754 0.671
Nd 0.666 0.246 0.329
Nd 0.666 0.754 0.329
Al 0.500 0.000 0.000
Hg 0.168 0.000 0.332
Hg 0.168 0.500 0.334
Hg 0.500 0.500 0.000
Hg 0.832 0.000 0.668
Hg 0.832 0.500 0.666

***

Record 7
A plane-wave DFT calculation with PBE was carried out for crystalline Nd4Al2Hg5 at its relaxed geometry.

Properties
- DOS(E_F) (states/eV per cell) = 7.6
- energy of formation (meV/atom) = -400.7
- space group = P2/m
- total energy (eV/cell) = -32.5

Cell lengths 8.036, 3.829, 9.602 Å; angles 90.00, 94.89, 90.00 degrees
Sites, in units of the cell vectors:
Nd 0.211 0.000 0.141
Nd 0.258 0.000 0.621
Nd 0.742 0.000 0.379
Nd 0.789 0.000 0.859
Al 0.066 0.500 0.382
Al 0.934 0.500 0.618
Hg 0.127 0.500 0.872
Hg 0.407 0.500 0.362
Hg 0.500 0.500 0.000
Hg 0.593 0.500 0.638
Hg 0.873 0.500 0.128

***

Record 8
A plane-wave DFT calculation with PBE was carried out for crystalline Nd3AlHg4 at its relaxed geometry.

Properties
- DOS(E_F) (states/eV per cell) = 5.1
- energy of formation (meV/atom) = -316.9
- space group = Immm
- total energy (eV/cell) = -21.8

Cell lengths 8.085, 8.085, 8.085 Å; angles 152.38, 110.12, 76.70 degrees
Sites, in units of the cell vectors:
Nd 0.000 0.000 0.000
Nd 0.301 0.801 0.500
Nd 0.699 0.199 0.500
Al 0.500 0.500 0.000
Hg 0.111 0.375 0.736
Hg 0.360 0.625 0.736
Hg 0.640 0.375 0.264
Hg 0.889 0.625 0.264

***

Record 9
A plane-wave DFT calculation with PBE was carried out for crystalline Nd3Al2Hg4 at its relaxed geometry.

Properties
- DOS(E_F) (states/eV per cell) = 5.8
- energy of formation (meV/atom) = -449.4
- space group = C2/m
- total energy (eV/cell) = -27.0

Cell lengths 6.136, 6.136, 9.141 Å; angles 113.03, 113.03, 46.35 degrees
Sites, in units of the cell vectors:
Nd 0.000 0.000 0.000
Nd 0.339 0.339 0.326
Nd 0.661 0.661 0.674
Al 0.386 0.386 0.717
Al 0.614 0.614 0.283
Hg 0.085 0.085 0.410
Hg 0.302 0.302 0.957
Hg 0.698 0.698 0.043
Hg 0.915 0.915 0.590

***

Record 10
A plane-wave DFT calculation with PBE was carried out for crystalline Nd5Al2Hg2 at its relaxed geometry.

Properties
- DOS(E_F) (states/eV per cell) = 17.9
- energy of formation (meV/atom) = -347.9
- space group = Cmce
- total energy (eV/cell) = -70.1

Cell lengths 9.307, 9.307, 7.893 Å; angles 90.00, 90.00, 51.18 degrees
Sites, in units of the cell vectors:
Nd 0.000 0.000 0.000
Nd 0.050 0.679 0.676
Nd 0.179 0.550 0.176
Nd 0.321 0.950 0.676
Nd 0.450 0.821 0.176
Nd 0.500 0.500 0.500
Nd 0.550 0.179 0.824
Nd 0.679 0.050 0.324
Nd 0.821 0.450 0.824
Nd 0.950 0.321 0.324
Al 0.116 0.884 0.384
Al 0.384 0.616 0.884
Al 0.616 0.384 0.116
Al 0.884 0.116 0.616
Hg 0.215 0.215 0.000
Hg 0.285 0.285 0.500
Hg 0.715 0.715 0.500
Hg 0.785 0.785 0.000

***

Record 11
A plane-wave DFT calculation with PBE was carried out for crystalline Nd8AlHg2 at its relaxed geometry.

Properties
- DOS(E_F) (states/eV per cell) = 12.0
- energy of formation (meV/atom) = -170.2
- energy relative to the lowest polymorph listed for this composition (kJ per mole of atoms) = 3.1
- space group = Immm
- total energy (eV/cell) = -44.4

Cell lengths 9.088, 9.088, 9.088 Å; angles 146.95, 122.86, 67.61 degrees
Sites, in units of the cell vectors:
Nd 0.114 0.341 0.773
Nd 0.134 0.134 0.000
Nd 0.315 0.000 0.315
Nd 0.431 0.659 0.773
Nd 0.569 0.341 0.227
Nd 0.685 0.000 0.685
Nd 0.866 0.866 0.000
Nd 0.886 0.659 0.227
Al 0.000 0.500 0.500
Hg 0.305 0.805 0.500
Hg 0.695 0.195 0.500